# K2ZrCo (PBE, optimized geometry)
data_K2ZrCo
_chemical_formula_sum 'K2 Zr1 Co1'
_symmetry_space_group_name_H-M 'P 4/m m m'
_symmetry_Int_Tables_number 123
_symmetry_space_group_name_Hall '-P 4 2'
_cell_length_a 4.006
_cell_length_b 4.006
_cell_length_c 6.236
_cell_angle_alpha 90.00
_cell_angle_beta 90.00
_cell_angle_gamma 90.00
loop_
_atom_site_label
_atom_site_type_symbol
_atom_site_fract_x
_atom_site_fract_y
_atom_site_fract_z
K1 K 0.000 0.500 0.000
Zr1 Zr 0.000 0.000 0.500
Co1 Co 0.500 0.500 0.500
# Formation energy from the elements, eV/atom: 1.0338
# Energy above the most stable polymorph in this dataset, meV/atom: 631.5



# Sm5H2Pb5 (PBE, optimized geometry)
data_Sm5H2Pb5
_chemical_formula_sum 'Sm10 H4 Pb10'
_symmetry_space_group_name_H-M 'C 1 2/m 1'
_symmetry_Int_Tables_number 12
_symmetry_space_group_name_Hall '-C 2y'
_cell_length_a 11.968
_cell_length_b 4.537
_cell_length_c 11.796
_cell_angle_alpha 90.00
_cell_angle_beta 103.66
_cell_angle_gamma 90.00
loop_
_atom_site_label
_atom_site_type_symbol
_atom_site_fract_x
_atom_site_fract_y
_atom_site_fract_z
Sm1 Sm 0.000 0.000 0.000
Sm2 Sm 0.116 0.000 0.337
Sm3 Sm 0.126 0.500 0.818
H1 H 0.048 0.000 0.822
Pb1 Pb 0.000 0.500 0.500
Pb2 Pb 0.158 0.500 0.128
Pb3 Pb 0.177 0.000 0.626
# E, Ry per atom: -0.3347



# Cd3Pd4Pb (PBE, optimized geometry)
data_Cd3Pd4Pb
_chemical_formula_sum 'Cd6 Pd8 Pb2'
_symmetry_space_group_name_H-M 'I 4/m m m'
_symmetry_Int_Tables_number 139
_symmetry_space_group_name_Hall '-I 4 2'
_cell_length_a 4.671
_cell_length_b 4.671
_cell_length_c 13.343
_cell_angle_alpha 90.00
_cell_angle_beta 90.00
_cell_angle_gamma 90.00
loop_
_atom_site_label
_atom_site_type_symbol
_atom_site_fract_x
_atom_site_fract_y
_atom_site_fract_z
Cd1 Cd 0.000 0.000 0.000
Cd2 Cd 0.000 0.000 0.247
Pd1 Pd 0.000 0.500 0.126
Pb1 Pb 0.000 0.000 0.500
# Formation energy from the elements, eV/atom: -0.3237



# Ac3Sb4Pd4 (PBE, optimized geometry)
data_Ac3Sb4Pd4
_chemical_formula_sum 'Ac3 Sb4 Pd4'
_symmetry_space_group_name_H-M 'P -1'
_symmetry_Int_Tables_number 2
_symmetry_space_group_name_Hall '-P 1'
_cell_length_a 4.591
_cell_length_b 4.730
_cell_length_c 13.749
_cell_angle_alpha 80.10
_cell_angle_beta 80.49
_cell_angle_gamma 89.97
loop_
_atom_site_label
_atom_site_type_symbol
_atom_site_fract_x
_atom_site_fract_y
_atom_site_fract_z
Ac1 Ac 0.000 0.000 0.000
Ac2 Ac 0.168 0.655 0.689
Sb1 Sb 0.282 0.805 0.392
Sb2 Sb 0.426 0.445 0.110
Pd1 Pd 0.279 0.253 0.497
Pd2 Pd 0.416 0.903 0.192
# Raw formation energy, eV per atom: -0.9743



Which density belongs to each record? In order, 3.789 9.552 11.065 9.128 Mg/m³.